DFT (PBE) results for an optimized crystal structure of YHoPuTl.

Output
The energy relative to the elements is 44 meV per atom. The density of states at the Fermi level comes out at 3.738 states/eV/atom.

POSCAR file:
```
YHoPuTl
1.0
0.000 3.831 3.831
3.831 0.000 3.831
3.831 3.831 0.000
Y Ho Pu Tl
1 1 1 1
Cartesian
0.000 0.000 0.000 Y
3.831 3.831 3.831 Ho
1.916 1.916 1.916 Pu
5.747 5.747 5.747 Tl
```

DFT (PBE) results for an optimized crystal structure of PmNdDyTh.

Output
The energy relative to the elements is 26 meV per atom. The offset from the most stable computed form comes out at 0 meV/atom. The density of states at the Fermi level comes out at 1.250 states/eV/atom.

POSCAR file:
```
PmNdDyTh
1.0
3.607 0.000 0.000
0.000 3.607 0.000
0.000 0.000 10.265
Pm Nd Dy Th
1 1 1 1
Cartesian
0.000 0.000 0.000 Pm
1.804 1.804 2.726 Nd
0.000 0.000 5.354 Dy
1.804 1.804 7.780 Th
```

DFT (PBE) results for an optimized crystal structure of TaHRh2.

Output
The offset from the most stable computed form comes out at 23 meV/atom. The density of states at the Fermi level comes out at 0.618 states/eV/atom.

POSCAR file:
```
TaHRh2
1.0
1.422 0.821 6.932
-1.422 0.821 6.932
0.000 -1.642 6.932
Ta H Rh
1 1 2
Cartesian
0.000 0.000 0.000 Ta
0.000 0.000 10.399 H
0.000 0.000 4.688 Rh
0.000 0.000 16.109 Rh
```